## a
First-principles (GGA-PBEsol) data for BeZn2Se after structural relaxation, as listed in Alexandria.

Fermi-level density of states ... 1.61 states/eV/f.u.

abc: 3.903 3.903 4.796
angles: 114.01 114.01 90.00
Positions (direct):
Be 0.500 0.500 0.000
Zn 0.000 0.000 0.000
Zn 0.750 0.250 0.500
Se 0.250 0.750 0.500



## b
First-principles (GGA-PBEsol) data for BeZn2Se after structural relaxation, as listed in Alexandria.

Fermi-level density of states ... 1.04 states/eV/f.u.

abc: 3.275 3.344 6.090
angles: 105.94 105.60 90.00
Positions (direct):
Zn 0.800 0.800 0.600
Zn 0.200 0.200 0.400
Be 0.500 0.000 0.000
Se 0.000 0.500 0.000



## c
First-principles (GGA-PBEsol) data for BeZn2Se after structural relaxation, as listed in Alexandria.

Fermi-level density of states ... 1.46 states/eV/f.u.

abc: 2.990 2.990 7.572
angles: 90.00 90.00 110.18
Positions (direct):
Se 0.500 0.500 0.308
Zn 0.500 0.500 0.722
Zn 0.000 0.000 0.978
Be 0.000 0.000 0.492



We find b to be the most stable, with the next structure 14.8 kJ/mol of atoms higher.



## a
First-principles (GGA-PBEsol) data for BeSi after structural relaxation, as listed in Alexandria.

Fermi-level density of states ... 0.44 states/eV/f.u.

abc: 3.579 4.004 3.916
angles: 90.00 90.00 116.54
Positions (direct):
Be 0.082 0.164 0.750
Be 0.918 0.836 0.250
Si 0.610 0.220 0.250
Si 0.390 0.780 0.750



## b
First-principles (GGA-PBEsol) data for BeSi after structural relaxation, as listed in Alexandria.

Fermi-level density of states ... 0.47 states/eV/f.u.

abc: 2.606 3.964 7.534
angles: 97.51 90.00 109.19
Positions (direct):
Be 0.340 0.680 0.175
Be 0.457 0.914 0.790
Be 0.051 0.102 0.078
Si 0.750 0.499 0.916
Si 0.635 0.270 0.344
Si 0.934 0.868 0.531



## c
First-principles (GGA-PBEsol) data for BeSi after structural relaxation, as listed in Alexandria.

Fermi-level density of states ... 0.64 states/eV/f.u.

abc: 3.570 3.570 4.780
angles: 90.00 90.00 120.00
Positions (direct):
Si 0.000 0.000 0.500
Si 0.000 0.000 0.000
Be 0.333 0.667 0.250
Be 0.667 0.333 0.750



## d
First-principles (GGA-PBEsol) data for BeSi after structural relaxation, as listed in Alexandria.

Fermi-level density of states ... 0.56 states/eV/f.u.

abc: 2.442 2.563 8.480
angles: 90.00 90.00 118.45
Positions (direct):
Be 0.250 0.500 0.107
Be 0.750 0.500 0.893
Si 0.250 0.500 0.651
Si 0.750 0.500 0.349



We find b to be the most stable, with the next structure 1.1 kJ/mol of atoms higher.



## a
First-principles (GGA-PBEsol) data for BeSiTc2 after structural relaxation, as listed in Alexandria.

Fermi-level density of states ... 2.05 states/eV/f.u.

abc: 2.756 4.134 4.748
angles: 100.95 90.00 109.47
Positions (direct):
Be 0.500 0.000 0.000
Si 0.000 0.000 0.500
Tc 0.250 0.501 0.239
Tc 0.750 0.499 0.761



## b
First-principles (GGA-PBEsol) data for BeSiTc2 after structural relaxation, as listed in Alexandria.

Fermi-level density of states ... 2.37 states/eV/f.u.

abc: 2.883 3.866 4.529
angles: 90.00 108.56 90.00
Positions (direct):
Si 0.551 0.500 0.101
Be 0.712 0.000 0.423
Tc 0.275 0.500 0.551
Tc 0.982 0.000 0.965



We find b to be the most stable, with the next structure 24.8 kJ/mol of atoms higher.



## a
First-principles (GGA-PBEsol) data for BeSiTc2 after structural relaxation, as listed in Alexandria.

Fermi-level density of states ... 3.69 states/eV/f.u.

abc: 2.924 4.034 4.034
angles: 90.00 90.00 90.00
Positions (direct):
Be 0.500 0.500 0.500
Tc 0.000 0.000 0.500
Tc 0.000 0.500 0.000
Si 0.500 0.000 0.000



## b
First-principles (GGA-PBEsol) data for BeSiTc2 after structural relaxation, as listed in Alexandria.

Fermi-level density of states ... 0.97 states/eV/f.u.

abc: 2.924 2.924 5.557
angles: 90.00 90.00 90.00
Positions (direct):
Be 0.000 0.000 0.507
Tc 0.000 0.000 0.985
Tc 0.500 0.500 0.281
Si 0.500 0.500 0.728



## c
First-principles (GGA-PBEsol) data for BeSiTc2 after structural relaxation, as listed in Alexandria.

Fermi-level density of states ... 2.72 states/eV/f.u.

abc: 2.676 3.797 4.941
angles: 90.00 97.53 90.00
Positions (direct):
Si 0.000 0.500 0.500
Be 0.500 0.500 0.000
Tc 0.766 0.000 0.757
Tc 0.234 0.000 0.243



We find b to be the most stable, with the next structure 15.2 kJ/mol of atoms higher.



## a
First-principles (GGA-PBEsol) data for BeSiTe2 after structural relaxation, as listed in Alexandria.

Fermi-level density of states ... 1.10 states/eV/f.u.

abc: 3.890 3.890 5.732
angles: 90.00 90.00 90.00
Positions (direct):
Be 0.000 0.000 0.410
Te 0.500 0.500 0.352
Te 0.000 0.000 0.845
Si 0.500 0.500 0.892



## b
First-principles (GGA-PBEsol) data for BeSiTe2 after structural relaxation, as listed in Alexandria.

Fermi-level density of states ... 1.63 states/eV/f.u.

abc: 3.774 3.663 7.465
angles: 90.00 90.00 121.01
Positions (direct):
Te 0.000 0.000 0.274
Te 0.000 0.000 0.726
Be 0.500 0.000 0.500
Si 0.500 0.000 0.000



We find a to be the most stable, with the next structure 31.1 kJ/mol of atoms higher.



## a
First-principles (GGA-PBEsol) data for BeTlSi after structural relaxation, as listed in Alexandria.

Fermi-level density of states ... 1.35 states/eV/f.u.

abc: 3.903 3.903 4.146
angles: 90.00 90.00 120.00
Positions (direct):
Si 0.333 0.667 0.000
Tl 0.667 0.333 0.500
Be 0.000 0.000 0.000



## b
First-principles (GGA-PBEsol) data for BeTlSi after structural relaxation, as listed in Alexandria.

Fermi-level density of states ... 0.79 states/eV/f.u.

abc: 4.212 4.212 4.212
angles: 60.00 60.00 60.00
Positions (direct):
Be 0.750 0.750 0.750
Tl 0.500 0.500 0.500
Si 0.000 0.000 0.000



We find a to be the most stable, with the next structure 9.9 kJ/mol of atoms higher.



## a
First-principles (GGA-PBEsol) data for Be2TlSi after structural relaxation, as listed in Alexandria.

Fermi-level density of states ... 1.49 states/eV/f.u.

abc: 3.798 4.569 4.569
angles: 74.77 65.44 65.44
Positions (direct):
Be 0.683 0.317 0.317
Be 0.317 0.683 0.683
Tl 0.500 0.000 0.000
Si 0.000 0.500 0.500



## b
First-principles (GGA-PBEsol) data for Be2TlSi after structural relaxation, as listed in Alexandria.

Fermi-level density of states ... 1.56 states/eV/f.u.

abc: 4.221 4.221 7.920
angles: 105.45 105.45 90.00
Positions (direct):
Si 0.500 0.500 0.000
Si 0.750 0.250 0.500
Be 0.125 0.250 0.750
Be 0.500 0.875 0.250
Be 0.750 0.375 0.250
Be 0.625 0.500 0.750
Tl 0.000 0.000 0.000
Tl 0.250 0.750 0.500



We find b to be the most stable, with the next structure 15.1 kJ/mol of atoms higher.



## a
First-principles (GGA-PBEsol) data for Sr2BeTe after structural relaxation, as listed in Alexandria.

Fermi-level density of states ... 2.75 states/eV/f.u.

abc: 4.299 4.810 6.357
angles: 96.55 109.76 90.00
Each line ends with the local moment (μB).
Positions (direct):
Be 0.714 0.062 0.429  0.08
Te 0.546 0.684 0.093  0.01
Sr 0.260 0.601 0.521  0.06
Sr 0.979 0.152 0.958  0.05



## b
First-principles (GGA-PBEsol) data for Sr2BeTe after structural relaxation, as listed in Alexandria.

Fermi-level density of states ... 1.69 states/eV/f.u.

abc: 3.978 3.978 7.423
angles: 90.00 90.00 90.00
Positions (direct):
Sr 0.000 0.000 0.258
Sr 0.000 0.000 0.742
Be 0.500 0.500 0.500
Te 0.500 0.500 0.000



We find b to be the most stable, with the next structure 2.5 kJ/mol of atoms higher.



## a
First-principles (GGA-PBEsol) data for SrBe2Tl after structural relaxation, as listed in Alexandria.

Fermi-level density of states ... 2.54 states/eV/f.u.

abc: 4.190 4.190 6.003
angles: 69.57 69.57 60.00
Positions (direct):
Sr 0.000 0.000 0.000
Be 0.807 0.807 0.578
Be 0.193 0.193 0.422
Tl 0.500 0.500 0.500



## b
First-principles (GGA-PBEsol) data for SrBe2Tl after structural relaxation, as listed in Alexandria.

Fermi-level density of states ... 1.68 states/eV/f.u.

abc: 3.971 4.026 5.612
angles: 111.02 90.00 90.00
Positions (direct):
Be 0.500 0.735 0.470
Be 0.000 0.797 0.593
Sr 0.000 0.087 0.175
Tl 0.500 0.380 0.760



We find a to be the most stable, with the next structure 2.7 kJ/mol of atoms higher.



## a
First-principles (GGA-PBEsol) data for Sr2BeTl after structural relaxation, as listed in Alexandria.

Fermi-level density of states ... 3.03 states/eV/f.u.

abc: 5.493 5.493 5.493
angles: 60.00 60.00 60.00
Positions (direct):
Sr 0.750 0.750 0.750
Sr 0.250 0.250 0.250
Tl 0.000 0.000 0.000
Be 0.500 0.500 0.500



## b
First-principles (GGA-PBEsol) data for Sr2BeTl after structural relaxation, as listed in Alexandria.

Fermi-level density of states ... 2.90 states/eV/f.u.

abc: 3.811 3.811 7.937
angles: 90.00 90.00 90.00
Positions (direct):
Tl 0.500 0.500 0.500
Sr 0.000 0.000 0.228
Sr 0.000 0.000 0.772
Be 0.500 0.500 0.000



We find b to be the most stable, with the next structure 1.9 kJ/mol of atoms higher.



## a
First-principles (GGA-PBEsol) data for Sr2BeZn after structural relaxation, as listed in Alexandria.

Fermi-level density of states ... 2.46 states/eV/f.u.

abc: 3.760 3.760 7.543
angles: 90.00 90.00 90.00
Positions (direct):
Zn 0.500 0.500 0.500
Sr 0.000 0.000 0.242
Sr 0.000 0.000 0.758
Be 0.500 0.500 0.000



## b
First-principles (GGA-PBEsol) data for Sr2BeZn after structural relaxation, as listed in Alexandria.

Fermi-level density of states ... 3.21 states/eV/f.u.

abc: 4.424 4.462 7.941
angles: 106.05 90.00 119.72
Positions (direct):
Sr 0.754 0.508 0.763
Sr 0.246 0.492 0.237
Zn 0.000 0.000 0.500
Be 0.500 0.000 0.000



We find a to be the most stable, with the next structure 21.0 kJ/mol of atoms higher.



## a
First-principles (GGA-PBEsol) data for TaBe after structural relaxation, as listed in Alexandria.

Fermi-level density of states ... 2.06 states/eV/f.u.

abc: 2.785 2.785 4.269
angles: 90.00 90.00 120.00
Positions (direct):
Ta 0.333 0.667 0.500
Be 0.000 0.000 0.000



## b
First-principles (GGA-PBEsol) data for TaBe after structural relaxation, as listed in Alexandria.

Fermi-level density of states ... 1.47 states/eV/f.u.

abc: 3.363 3.365 4.841
angles: 69.66 90.00 90.00
Positions (direct):
Be 0.750 0.933 0.133
Be 0.250 0.067 0.867
Ta 0.750 0.650 0.700
Ta 0.250 0.350 0.300



## c
First-principles (GGA-PBEsol) data for TaBe after structural relaxation, as listed in Alexandria.

Fermi-level density of states ... 1.46 states/eV/f.u.

abc: 4.296 4.296 4.296
angles: 60.00 60.00 60.00
Positions (direct):
Ta 0.750 0.750 0.750
Ta 0.500 0.500 0.500
Be 0.000 0.000 0.000
Be 0.250 0.250 0.250



We find b to be the most stable, with the next structure 54.9 kJ/mol of atoms higher.



## a
First-principles (GGA-PBEsol) data for Ta3Be after structural relaxation, as listed in Alexandria.

Fermi-level density of states ... 2.56 states/eV/f.u.

abc: 2.921 4.850 4.858
angles: 102.51 107.49 90.00
Positions (direct):
Ta 0.731 0.228 0.461
Ta 0.500 0.500 0.000
Ta 0.269 0.772 0.539
Be 0.000 0.000 0.000



## b
First-principles (GGA-PBEsol) data for Ta3Be after structural relaxation, as listed in Alexandria.

Fermi-level density of states ... 4.03 states/eV/f.u.

abc: 3.952 3.952 4.968
angles: 113.44 113.44 90.00
Positions (direct):
Ta 0.750 0.250 0.500
Ta 0.250 0.750 0.500
Ta 0.500 0.500 0.000
Be 0.000 0.000 0.000



We find a to be the most stable, with the next structure 1.4 kJ/mol of atoms higher.